[1]
VASP calculation (PBE) on a relaxed structure of GaH2W.

Geometry as POSCAR:
```
GaH2W
1.0
0.0000 2.6593 2.6593
2.6593 0.0000 2.6593
2.6593 2.6593 0.0000
Ga H W
1 2 1
direct
0.0000 0.0000 0.0000 Ga
0.2500 0.2500 0.2500 H
0.7500 0.7500 0.7500 H
0.5000 0.5000 0.5000 W
```

Output
- electronic total energy (eV/atom) = -4.661
- offset from the most stable computed form (eV/atom) = 0.745


[2]
VASP calculation (PBE) on a relaxed structure of GaH2W2.

Geometry as POSCAR:
```
GaH2W2
1.0
-1.5825 1.5825 5.1703
1.5825 -1.5825 5.1703
1.5825 1.5825 -5.1703
Ga H W
1 2 2
direct
0.0000 0.0000 0.0000 Ga
0.2500 0.7500 0.5000 H
0.7500 0.2500 0.5000 H
0.3502 0.3502 0.0000 W
0.6498 0.6498 0.0000 W
```

Output
- electronic total energy (eV/atom) = -6.890


[3]
VASP calculation (PBE) on a relaxed structure of Ga3HW.

Geometry as POSCAR:
```
Ga3HW
1.0
4.9750 0.0000 0.0000
0.0000 4.9750 0.0000
0.0000 0.0000 4.9750
Ga H W
3 1 1
direct
0.0000 0.0000 0.5000 Ga
0.0000 0.5000 0.0000 Ga
0.5000 0.0000 0.0000 Ga
0.5000 0.5000 0.5000 H
0.0000 0.0000 0.0000 W
```

Output
- electronic total energy (eV/atom) = -4.093
- offset from the most stable computed form (eV/atom) = 0.502


[4]
VASP calculation (PBE) on a relaxed structure of Ga2HW.

Geometry as POSCAR:
```
Ga2HW
1.0
0.0000 3.0758 3.0758
3.0758 0.0000 3.0758
3.0758 3.0758 0.0000
Ga H W
2 1 1
direct
0.2500 0.2500 0.2500 Ga
0.7500 0.7500 0.7500 Ga
0.0000 0.0000 0.0000 H
0.5000 0.5000 0.5000 W
```

Output
- electronic total energy (eV/atom) = -4.566
- offset from the most stable computed form (eV/atom) = 0.602


[5]
VASP calculation (PBE) on a relaxed structure of Zr2GaHW.

Geometry as POSCAR:
```
Zr2GaHW
1.0
4.6060 0.0000 0.0000
0.0000 4.6060 0.0000
0.0000 0.0000 3.6969
Zr Ga H W
2 1 1 1
direct
0.0000 0.5000 0.0000 Zr
0.5000 0.0000 0.0000 Zr
0.0000 0.0000 0.5000 Ga
0.5000 0.5000 0.0000 H
0.5000 0.5000 0.5000 W
```

Output
- electronic total energy (eV/atom) = -7.525


[6]
VASP calculation (PBE) on a relaxed structure of YGa2H6.

Geometry as POSCAR:
```
YGa2H6
1.0
0.0000 3.7223 3.7223
3.7223 0.0000 3.7223
3.7223 3.7223 0.0000
Y Ga H
1 2 6
direct
0.0000 0.0000 0.0000 Y
0.2500 0.2500 0.2500 Ga
0.7500 0.7500 0.7500 Ga
0.2784 0.2784 0.7216 H
0.2784 0.7216 0.2784 H
0.2784 0.7216 0.7216 H
0.7216 0.2784 0.2784 H
0.7216 0.2784 0.7216 H
0.7216 0.7216 0.2784 H
```

Output
- electronic total energy (eV/atom) = -3.174